Tb2InPd: optimized geometry, GGA-PBE.

Geometry as extended XYZ:
```
4
Lattice="5.181 0.000 0.000 2.591 4.487 0.000 2.591 1.496 4.231" Properties=species:S:1:pos:R:3 pbc="T T T"
Tb 2.591 1.496 1.058
Tb 7.772 4.487 3.173
Pd 5.181 2.991 2.115
In 0.000 0.000 0.000
```

Calculated values
DOS at the Fermi energy, states/eV per atom: 0.86
Total magnetization, μB per atom: 0.000
Polymorph energy (0 for the lowest one), meV per atom: 81.3
Volume, Å³ per atom: 24.6